The following is a DFT calculation (PBE) of an optimized crystal structure of NaAgPS2.

Structure (CIF):
```
data_NaAgPS2
_chemical_formula_sum 'Na1 Ag1 P1 S2'
_cell_length_a 4.913
_cell_length_b 4.913
_cell_length_c 4.860
_cell_angle_alpha 90.00
_cell_angle_beta 90.00
_cell_angle_gamma 90.00
_symmetry_space_group_name_H-M 'P 4/m m m'
_symmetry_Int_Tables_number 123
_symmetry_space_group_name_Hall '-P 4 2'
loop_
_atom_site_label
_atom_site_type_symbol
_atom_site_fract_x
_atom_site_fract_y
_atom_site_fract_z
Na1 Na 0.000 0.000 0.000
Ag1 Ag 0.500 0.500 0.500
P1 P 0.000 0.000 0.500
S1 S 0.000 0.500 0.000
```

Summary:
* ΔE to the lowest computed polymorph: 63.4 kJ per mole of atoms
* formation energy from raw total energies: 1.1133 eV/atom

The following is a DFT calculation (PBE) of an optimized crystal structure of Ba2InI.

Structure (CIF):
```
data_Ba2InI
_chemical_formula_sum 'Ba2 In1 I1'
_cell_length_a 4.159
_cell_length_b 4.159
_cell_length_c 9.524
_cell_angle_alpha 90.00
_cell_angle_beta 90.00
_cell_angle_gamma 90.00
_symmetry_space_group_name_H-M 'P 4/m m m'
_symmetry_Int_Tables_number 123
_symmetry_space_group_name_Hall '-P 4 2'
loop_
_atom_site_label
_atom_site_type_symbol
_atom_site_fract_x
_atom_site_fract_y
_atom_site_fract_z
Ba1 Ba 0.000 0.000 0.231
In1 In 0.500 0.500 0.000
I1 I 0.500 0.500 0.500
```

Summary:
* ΔE to the lowest computed polymorph: 1.4 kJ per mole of atoms
* formation energy from raw total energies: -0.8619 eV/atom

The following is a DFT calculation (PBE) of an optimized crystal structure of YNi2Mo.

Structure (CIF):
```
data_YNi2Mo
_chemical_formula_sum 'Y1 Ni2 Mo1'
_cell_length_a 3.171
_cell_length_b 3.171
_cell_length_c 6.471
_cell_angle_alpha 90.00
_cell_angle_beta 90.00
_cell_angle_gamma 90.00
_symmetry_space_group_name_H-M 'P 4 m m'
_symmetry_Int_Tables_number 99
_symmetry_space_group_name_Hall 'P 4 -2'
loop_
_atom_site_label
_atom_site_type_symbol
_atom_site_fract_x
_atom_site_fract_y
_atom_site_fract_z
Y1 Y 0.000 0.000 0.000
Ni1 Ni 0.000 0.000 0.527
Ni2 Ni 0.500 0.500 0.717
Mo1 Mo 0.500 0.500 0.336
```

Summary:
* ΔE_f: 99 meV per atom
* ΔE to the lowest computed polymorph: 18.7 kJ per mole of atoms

The following is a DFT calculation (PBE) of an optimized crystal structure of SrHfN.

Structure (CIF):
```
data_SrHfN
_chemical_formula_sum 'Sr4 Hf4 N4'
_cell_length_a 12.493
_cell_length_b 3.368
_cell_length_c 5.836
_cell_angle_alpha 90.00
_cell_angle_beta 90.00
_cell_angle_gamma 90.00
_symmetry_space_group_name_H-M 'A m m 2'
_symmetry_Int_Tables_number 38
_symmetry_space_group_name_Hall 'A 2 -2'
loop_
_atom_site_label
_atom_site_type_symbol
_atom_site_fract_x
_atom_site_fract_y
_atom_site_fract_z
Sr1 Sr 0.120 0.000 0.000
Hf1 Hf 0.390 0.000 0.669
N1 N 0.000 0.000 0.667
N2 N 0.500 0.000 0.002
```

Summary:
* formation energy from raw total energies: -0.2359 eV/atom

The following is a DFT calculation (PBE) of an optimized crystal structure of Ba2Mg6In.

Structure (CIF):
```
data_Ba2Mg6In
_chemical_formula_sum 'Ba4 Mg12 In2'
_cell_length_a 10.993
_cell_length_b 7.032
_cell_length_c 7.197
_cell_angle_alpha 90.00
_cell_angle_beta 96.98
_cell_angle_gamma 90.00
_symmetry_space_group_name_H-M 'C 1 2/m 1'
_symmetry_Int_Tables_number 12
_symmetry_space_group_name_Hall '-C 2y'
loop_
_atom_site_label
_atom_site_type_symbol
_atom_site_fract_x
_atom_site_fract_y
_atom_site_fract_z
Ba1 Ba 0.161 0.000 0.374
Mg1 Mg 0.112 0.223 0.861
Mg2 Mg 0.134 0.500 0.173
In1 In 0.000 0.500 0.500
```

Summary:
* ΔE_f: -107 meV per atom

The following is a DFT calculation (PBE) of an optimized crystal structure of Zr2Cl3.

Structure (CIF):
```
data_Zr2Cl3
_chemical_formula_sum 'Zr16 Cl24'
_cell_length_a 10.266
_cell_length_b 11.119
_cell_length_c 7.622
_cell_angle_alpha 90.00
_cell_angle_beta 90.00
_cell_angle_gamma 90.00
_symmetry_space_group_name_H-M 'F d d 2'
_symmetry_Int_Tables_number 43
_symmetry_space_group_name_Hall 'F 2 -2d'
loop_
_atom_site_label
_atom_site_type_symbol
_atom_site_fract_x
_atom_site_fract_y
_atom_site_fract_z
Zr1 Zr 0.122 0.203 0.000
Cl1 Cl 0.000 0.000 0.069
Cl2 Cl 0.078 0.179 0.658
```

Summary:
* formation energy from raw total energies: -0.9753 eV/atom

The following N(E_F) values (in states/eV per atom) correspond, in order, to the records above: 1.20, 0.48, 0.82, 0.26, 0.65, 0.74.